{
  "formula": "ScReP",
  "functional": "SCAN",
  "state": "PBEsol geometry",
  "magnetic_moment_mub_per_cell": 0.00,
  "e_above_lowest_polymorph_ev_per_atom": 0.6984,
  "crystal_system": "cubic",
  "e_tot_ry_per_atom": -2.337,
  "spacegroup": "F-43m",
  "formation_enthalpy_0k_ev_per_atom": 0.11,
  "lattice_angstrom": [[-0.544, 1.066, -4.001], [3.130, -0.457, -2.727], [-0.207, -2.959, -2.940]],
  "species": ["P", "Re", "Sc"],
  "frac_coords": [[0.500, 0.500, 0.500], [0.750, 0.750, 0.750], [0.000, 0.000, 0.000]]
}